#A
A relaxed La4Os crystal, computed with PBE-GGA.

M_tot, μB per formula unit: 0.000
SG: No. 139

Lattice parameters (Å, degrees): 10.7375 10.7375 10.7375 158.77 158.77 30.20
Last column: nearest neighbours and their distance in Å.
Fractional positions:
Os 0.0000 0.0000 0.0000  8 La 3.21
La 0.5763 0.5763 0.0000  1 La 3.16, 4 Os 3.21
La 0.4237 0.4237 0.0000  1 La 3.16, 4 Os 3.21
La 0.2500 0.7500 0.5000  4 La 2.80
La 0.7500 0.2500 0.5000  4 La 2.80

---

#B
A relaxed La4Os crystal, computed with PBE-GGA.

M_tot, μB per formula unit: 0.000
SG: No. 122

Lattice parameters (Å, degrees): 7.6739 7.6739 7.6718 108.58 108.58 111.28
Last column: nearest neighbours and their distance in Å.
Fractional positions:
Os 0.5804 0.0804 0.5000  4 La 2.75
Os 0.3304 0.3304 0.0000  4 La 2.75
La 0.6617 0.8640 0.2042  1 Os 2.75
La 0.2033 0.9991 0.2022  1 Os 2.75
La 0.1140 0.4117 0.7042  1 Os 2.75
La 0.7969 0.0011 0.7978  1 Os 2.75
La 0.2491 0.9533 0.7022  1 Os 2.75
La 0.7075 0.4098 0.2958  1 Os 2.75
La 0.6598 0.4575 0.7958  1 Os 2.75
La 0.2511 0.5469 0.2978  1 Os 2.75

---

So which one wins? Going from most stable to least: #B, #A.